1.
Sb2TeS6: optimized geometry, PBE.

Output
- E above lowest polymorph (kJ/mol of formula units) = 0
- raw total energy (eV/cell) = -72.67
- formation energy without anion corrections (meV/atom) = -21

Geometry as CIF:
```
data_Sb2TeS6
_space_group_name_H-M_alt 'C 1 2/m 1'
_space_group_IT_number 12
_cell_length_a 17.0789
_cell_length_b 3.7669
_cell_length_c 7.7948
_cell_angle_alpha 90.00
_cell_angle_beta 106.22
_cell_angle_gamma 90.00
loop_
_space_group_symop_operation_xyz
'x,y,z'
'-x,-y,-z'
'-x,y,-z'
'x,-y,z'
'x+1/2,y+1/2,z'
'-x+1/2,-y+1/2,-z'
'-x+1/2,y+1/2,-z'
'x+1/2,-y+1/2,z'
loop_
_atom_site_label
_atom_site_fract_x
_atom_site_fract_y
_atom_site_fract_z
Sb1 0.1673 0.0000 0.3354
Te1 0.0000 0.5000 0.0000
S1 0.0051 0.0000 0.2480
S2 0.1640 0.5000 0.0907
S3 0.1697 0.5000 0.5776
```

---

2.
Sb2TeS: optimized geometry, PBE.

Output
- E above lowest polymorph (kJ/mol of formula units) = 73
- raw total energy (eV/cell) = -58.42
- formation energy without anion corrections (meV/atom) = 227

Geometry as CIF:
```
data_Sb2TeS
_space_group_name_H-M_alt 'F m -3 m'
_space_group_IT_number 225
_space_group_name_Hall '-F 4 2 3'
_cell_length_a 7.3287
_cell_length_b 7.3287
_cell_length_c 7.3287
_cell_angle_alpha 90.00
_cell_angle_beta 90.00
_cell_angle_gamma 90.00
loop_
_atom_site_label
_atom_site_fract_x
_atom_site_fract_y
_atom_site_fract_z
Sb1 0.2500 0.2500 0.2500
Te1 0.0000 0.0000 0.0000
S1 0.0000 0.0000 0.5000
```

---

3.
Sb3TeS3: optimized geometry, PBE.

Output
- E above lowest polymorph (kJ/mol of formula units) = 44
- raw total energy (eV/cell) = -169.02
- formation energy without anion corrections (meV/atom) = -40

Geometry as CIF:
```
data_Sb3TeS3
_space_group_name_H-M_alt 'R -3'
_space_group_IT_number 148
_space_group_name_Hall '-R 3'
_cell_length_a 8.5476
_cell_length_b 8.5476
_cell_length_c 20.6247
_cell_angle_alpha 90.00
_cell_angle_beta 90.00
_cell_angle_gamma 120.00
loop_
_atom_site_label
_atom_site_fract_x
_atom_site_fract_y
_atom_site_fract_z
Sb1 0.0029 0.4006 0.0922
Te1 0.0000 0.0000 0.3277
S1 0.0143 0.6527 0.7825
```

---

4.
SbTe2S: optimized geometry, PBE.

Output
- E above lowest polymorph (kJ/mol of formula units) = 63
- raw total energy (eV/cell) = -52.06
- formation energy without anion corrections (meV/atom) = 379

Geometry as CIF:
```
data_SbTe2S
_space_group_name_H-M_alt 'F m -3 m'
_space_group_IT_number 225
_space_group_name_Hall '-F 4 2 3'
_cell_length_a 7.3636
_cell_length_b 7.3636
_cell_length_c 7.3636
_cell_angle_alpha 90.00
_cell_angle_beta 90.00
_cell_angle_gamma 90.00
loop_
_atom_site_label
_atom_site_fract_x
_atom_site_fract_y
_atom_site_fract_z
Sb1 0.0000 0.0000 0.0000
Te1 0.2500 0.2500 0.2500
S1 0.0000 0.0000 0.5000
```

---

5.
SbTe2S: optimized geometry, PBE.

Output
- E above lowest polymorph (kJ/mol of formula units) = 0
- raw total energy (eV/cell) = -41.01
- formation energy without anion corrections (meV/atom) = 216

Geometry as CIF:
```
data_SbTe2S
_space_group_name_H-M_alt 'R -3 m'
_space_group_IT_number 166
_space_group_name_Hall '-R 3 2"'
_cell_length_a 4.2407
_cell_length_b 4.2407
_cell_length_c 26.4467
_cell_angle_alpha 90.00
_cell_angle_beta 90.00
_cell_angle_gamma 120.00
loop_
_atom_site_label
_atom_site_fract_x
_atom_site_fract_y
_atom_site_fract_z
Sb1 0.0000 0.0000 0.0000
Te1 0.0000 0.0000 0.4052
S1 0.0000 0.0000 0.5000
```

---

6.
Sb4TeS5: optimized geometry, PBE.

Output
- raw total energy (eV/cell) = -82.49
- formation energy without anion corrections (meV/atom) = -98

Geometry as CIF:
```
data_Sb4TeS5
_space_group_name_H-M_alt 'P m m n'
_space_group_IT_number 59
_cell_length_a 9.2206
_cell_length_b 9.5645
_cell_length_c 7.3861
_cell_angle_alpha 90.00
_cell_angle_beta 90.00
_cell_angle_gamma 90.00
loop_
_space_group_symop_operation_xyz
'x,y,z'
'-x,-y,-z'
'-x+1/2,-y+1/2,z'
'x+1/2,y+1/2,-z'
'x+1/2,-y,-z'
'-x+1/2,y,z'
'-x,y+1/2,-z'
'x,-y+1/2,z'
loop_
_atom_site_label
_atom_site_fract_x
_atom_site_fract_y
_atom_site_fract_z
Sb1 0.0030 0.2500 0.0672
Sb2 0.2500 0.5171 0.4698
Te1 0.2500 0.2500 0.8426
S1 0.0351 0.0449 0.2671
S2 0.2500 0.7500 0.3179
```

---

7.
Th2SbTe2S: optimized geometry, PBE.

Output
- raw total energy (eV/cell) = -147.70
- formation energy without anion corrections (meV/atom) = -1259

Geometry as CIF:
```
data_Th2SbTe2S
_space_group_name_H-M_alt 'I b a m'
_space_group_IT_number 72
_space_group_name_Hall '-I 2 2c'
_cell_length_a 7.7858
_cell_length_b 15.7741
_cell_length_c 6.1555
_cell_angle_alpha 90.00
_cell_angle_beta 90.00
_cell_angle_gamma 90.00
loop_
_atom_site_label
_atom_site_fract_x
_atom_site_fract_y
_atom_site_fract_z
Th1 0.1990 0.1139 0.0000
Sb1 0.0000 0.5000 0.2500
Te1 0.1842 0.1906 0.5000
S1 0.0000 0.0000 0.2500
```

---

8.
TiSbTe2S: optimized geometry, PBE.

Output
- E above lowest polymorph (kJ/mol of formula units) = 0
- raw total energy (eV/cell) = -21.05
- formation energy without anion corrections (meV/atom) = 276

Geometry as CIF:
```
data_TiSbTe2S
_space_group_name_H-M_alt 'P 4/m m m'
_space_group_IT_number 123
_space_group_name_Hall '-P 4 2'
_cell_length_a 5.1542
_cell_length_b 5.1542
_cell_length_c 5.3592
_cell_angle_alpha 90.00
_cell_angle_beta 90.00
_cell_angle_gamma 90.00
loop_
_atom_site_label
_atom_site_fract_x
_atom_site_fract_y
_atom_site_fract_z
Ti1 0.0000 0.0000 0.0000
Sb1 0.0000 0.0000 0.5000
Te1 0.0000 0.5000 0.0000
S1 0.5000 0.5000 0.5000
```

---

9.
TiSbTe2S: optimized geometry, PBE.

Output
- E above lowest polymorph (kJ/mol of formula units) = 168
- raw total energy (eV/cell) = -19.31
- formation energy without anion corrections (meV/atom) = 624

Geometry as CIF:
```
data_TiSbTe2S
_space_group_name_H-M_alt 'P 4/m m m'
_space_group_IT_number 123
_space_group_name_Hall '-P 4 2'
_cell_length_a 5.1250
_cell_length_b 5.1250
_cell_length_c 5.1987
_cell_angle_alpha 90.00
_cell_angle_beta 90.00
_cell_angle_gamma 90.00
loop_
_atom_site_label
_atom_site_fract_x
_atom_site_fract_y
_atom_site_fract_z
Ti1 0.0000 0.0000 0.0000
Sb1 0.5000 0.5000 0.0000
Te1 0.0000 0.5000 0.5000
S1 0.5000 0.5000 0.5000
```

---

10.
TlSb2TeS: optimized geometry, PBE.

Output
- E above lowest polymorph (kJ/mol of formula units) = 0
- raw total energy (eV/cell) = -16.15
- formation energy without anion corrections (meV/atom) = 345

Geometry as CIF:
```
data_TlSb2TeS
_space_group_name_H-M_alt 'P 4/m m m'
_space_group_IT_number 123
_space_group_name_Hall '-P 4 2'
_cell_length_a 5.3225
_cell_length_b 5.3225
_cell_length_c 5.4110
_cell_angle_alpha 90.00
_cell_angle_beta 90.00
_cell_angle_gamma 90.00
loop_
_atom_site_label
_atom_site_fract_x
_atom_site_fract_y
_atom_site_fract_z
Tl1 0.0000 0.0000 0.0000
Sb1 0.0000 0.5000 0.5000
Te1 0.5000 0.5000 0.0000
S1 0.5000 0.5000 0.5000
```

---

11.
TlSb2TeS: optimized geometry, PBE.

Output
- E above lowest polymorph (kJ/mol of formula units) = 388
- raw total energy (eV/cell) = -12.13
- formation energy without anion corrections (meV/atom) = 1150

Geometry as CIF:
```
data_TlSb2TeS
_space_group_name_H-M_alt 'P 4/m m m'
_space_group_IT_number 123
_space_group_name_Hall '-P 4 2'
_cell_length_a 5.7257
_cell_length_b 5.7257
_cell_length_c 5.6101
_cell_angle_alpha 90.00
_cell_angle_beta 90.00
_cell_angle_gamma 90.00
loop_
_atom_site_label
_atom_site_fract_x
_atom_site_fract_y
_atom_site_fract_z
Tl1 0.0000 0.0000 0.0000
Sb1 0.0000 0.5000 0.0000
Te1 0.0000 0.0000 0.5000
S1 0.5000 0.5000 0.5000
```

---

12.
TlSbTeS: optimized geometry, PBE.

Output
- raw total energy (eV/cell) = -44.13
- formation energy without anion corrections (meV/atom) = -238

Geometry as CIF:
```
data_TlSbTeS
_space_group_name_H-M_alt 'R 3 m'
_space_group_IT_number 160
_space_group_name_Hall 'R 3 -2"'
_cell_length_a 4.2051
_cell_length_b 4.2051
_cell_length_c 24.0103
_cell_angle_alpha 90.00
_cell_angle_beta 90.00
_cell_angle_gamma 120.00
loop_
_atom_site_label
_atom_site_fract_x
_atom_site_fract_y
_atom_site_fract_z
Tl1 0.0000 0.0000 0.0000
Sb1 0.0000 0.0000 0.8488
Te1 0.0000 0.0000 0.4385
S1 0.0000 0.0000 0.2436
```